Entry 1:
Ba2MnTc | meta-GGA SCAN | single point on PBEsol structure

The calculation puts the calculated density at 6471 kg/m3. Its total energy is -32.544 eV per atom. Its space group is P4mm. The calculation puts the relative energy among the computed polymorphs at 0.000 eV/f.u.

a b c (Å): 3.3943 3.3943 9.5243
angles (deg): 90.00 90.00 90.00
Closest atoms and distances in Å follow each position.
Fractional positions:
Tc (0.5000, 0.5000, 0.6477)  4 Mn 2.44
Ba (0.5000, 0.5000, 0.3326)  1 Tc 3.00
Mn (0.0000, 0.0000, 0.5989)  4 Tc 2.44
Ba (0.0000, 0.0000, 0.9208)  1 Mn 3.07, 4 Ba 3.39

***

Entry 2:
TlCuRu2 | meta-GGA SCAN | single point on PBEsol structure

The calculation puts the calculated density at 12893 kg/m3. Its total energy is -38.875 eV per atom. Its space group is Pmm2. The calculation puts the relative energy among the computed polymorphs at 0.000 eV/f.u.

a b c (Å): 2.8209 3.5830 5.9901
angles (deg): 90.00 90.00 90.00
Closest atoms and distances in Å follow each position.
Fractional positions:
Ru (0.0001, 0.0000, 0.0076)  6 Ru 2.57-2.82, 4 Cu 2.67
Ru (0.5001, 0.5000, 0.2044)  1 Cu 2.57, 6 Ru 2.57-2.82
Tl (0.9998, 0.0000, 0.5118)  4 Cu 2.78, 2 Tl 2.82, 6 Ru 2.93-3.02
Cu (0.5000, 0.5000, 0.7762)  5 Ru 2.57-2.67, 4 Tl 2.78, 2 Cu 2.82

***

no.,formation enthalpy at 0 K (eV/atom)
1,0.560
2,0.427